No. 1
CaPb2W: relaxed, PBEsol.

space group: Cm
total moment: 0.00 μB/f.u.
DFT total energy: -42.819 eV per cell
Fermi-level density of states: 2.86 states/eV/f.u.
energy of formation from the pure elements: 0.632 eV/atom

a b c (Å): 11.3634 3.1375 5.2329
angles (deg): 90.00 97.14 90.00
Closest atoms and distances in Å follow each position.
Fractional coordinates of all 8 atoms:
1 Ca 0.0000 0.0000 0.0000  7 Pb 3.02-3.38, 2 Ca 3.14, 2 W 3.30
2 Ca 0.5000 0.5000 0.0000  7 Pb 3.02-3.38, 2 Ca 3.14, 2 W 3.30
3 Pb 0.2437 0.0000 0.7829  4 W 3.03-3.07, 3 Ca 3.12-3.38, 3 Pb 3.14-3.19
4 Pb 0.4709 0.0000 0.4815  4 Ca 3.02-3.12, 3 Pb 3.14-3.19, 3 W 3.15-3.34
5 Pb 0.7437 0.5000 0.7829  4 W 3.03-3.07, 3 Ca 3.12-3.38, 3 Pb 3.14-3.19
6 Pb 0.9709 0.5000 0.4815  4 Ca 3.02-3.12, 3 Pb 3.14-3.19, 3 W 3.15-3.34
7 W 0.2375 0.5000 0.2760  7 Pb 3.03-3.34, 2 W 3.14, 2 Ca 3.30
8 W 0.7375 0.0000 0.2760  7 Pb 3.03-3.34, 2 W 3.14, 2 Ca 3.30

No. 2
CaY2Pb: relaxed, PBEsol.

space group: Cmmm
total moment: 0.00 μB/f.u.
DFT total energy: -40.769 eV per cell
Fermi-level density of states: 4.76 states/eV/f.u.
energy of formation from the pure elements: -0.152 eV/atom

a b c (Å): 6.8488 9.8577 3.5154
angles (deg): 90.00 90.00 90.00
Closest atoms and distances in Å follow each position.
Fractional coordinates of all 8 atoms:
1 Ca 0.0000 0.0000 0.0000  2 Pb 3.42, 8 Y 3.48, 2 Ca 3.52
2 Ca 0.5000 0.5000 0.0000  2 Pb 3.42, 8 Y 3.48, 2 Ca 3.52
3 Y 0.2500 0.2500 0.5000  4 Y 3.42-3.52, 4 Pb 3.48, 4 Ca 3.48
4 Y 0.2500 0.7500 0.5000  4 Y 3.42-3.52, 4 Pb 3.48, 4 Ca 3.48
5 Y 0.7500 0.2500 0.5000  4 Y 3.42-3.52, 4 Pb 3.48, 4 Ca 3.48
6 Y 0.7500 0.7500 0.5000  4 Y 3.42-3.52, 4 Pb 3.48, 4 Ca 3.48
7 Pb 0.0000 0.5000 0.0000  2 Ca 3.42, 8 Y 3.48, 2 Pb 3.52
8 Pb 0.5000 0.0000 0.0000  2 Ca 3.42, 8 Y 3.48, 2 Pb 3.52

No. 3
CaYPb: relaxed, PBEsol.

space group: Imm2
total moment: 0.27 μB/f.u.
DFT total energy: -27.689 eV per cell
Fermi-level density of states: 3.74 states/eV/f.u.
energy of formation from the pure elements: -0.297 eV/atom

a b c (Å): 3.5331 4.4145 11.5453
angles (deg): 90.00 90.00 90.00
Closest atoms and distances in Å follow each position.
Fractional coordinates of all 6 atoms:
1 Ca 0.0000 0.0000 0.0000  4 Pb 3.36, 5 Y 3.40-3.69, 2 Ca 3.53
2 Ca 0.5000 0.5000 0.5000  4 Pb 3.36, 5 Y 3.40-3.69, 2 Ca 3.53
3 Y 0.0000 0.0000 0.2947  4 Pb 3.25, 1 Ca 3.40, 2 Y 3.53
4 Y 0.5000 0.5000 0.7947  4 Pb 3.25, 1 Ca 3.40, 2 Y 3.53
5 Pb 0.0000 0.0000 0.6567  4 Y 3.25, 4 Ca 3.36, 2 Pb 3.53
6 Pb 0.5000 0.5000 0.1567  4 Y 3.25, 4 Ca 3.36, 2 Pb 3.53

No. 4
CaY2Pb: relaxed, PBEsol.

space group: Cmmm
total moment: 0.00 μB/f.u.
DFT total energy: -40.427 eV per cell
Fermi-level density of states: 4.72 states/eV/f.u.
energy of formation from the pure elements: -0.109 eV/atom

a b c (Å): 3.7915 5.9050 11.1756
angles (deg): 90.00 90.00 90.00
Closest atoms and distances in Å follow each position.
Fractional coordinates of all 8 atoms:
1 Ca 0.0000 0.0000 0.0000  6 Ca 3.51-3.79, 4 Y 3.58
2 Ca 0.5000 0.5000 0.0000  6 Ca 3.51-3.79, 4 Y 3.58
3 Y 0.0000 0.5000 0.2722  2 Pb 3.17, 4 Y 3.51
4 Y 0.0000 0.5000 0.7278  2 Pb 3.17, 4 Y 3.51
5 Y 0.5000 0.0000 0.2722  2 Pb 3.17, 4 Y 3.51
6 Y 0.5000 0.0000 0.7278  2 Pb 3.17, 4 Y 3.51
7 Pb 0.0000 0.0000 0.5000  4 Y 3.17, 4 Pb 3.51
8 Pb 0.5000 0.5000 0.5000  4 Y 3.17, 4 Pb 3.51

No. 5
CaYPb: relaxed, PBEsol.

space group: P3m1
total moment: 0.05 μB/f.u.
DFT total energy: -13.807 eV per cell
Fermi-level density of states: 4.46 states/eV/f.u.
energy of formation from the pure elements: -0.284 eV/atom

a b c (Å): 5.2128 5.2128 3.8051
angles (deg): 90.00 90.00 120.00
Closest atoms and distances in Å follow each position.
Fractional coordinates of all 3 atoms:
1 Ca 0.0000 0.0000 0.0000  3 Pb 3.21, 3 Y 3.47
2 Y 0.6667 0.3333 0.4517  3 Pb 3.16, 3 Ca 3.47
3 Pb 0.3333 0.6667 0.7056  3 Y 3.16, 3 Ca 3.21

No. 6
CaZnPb2: relaxed, PBEsol.

space group: P4/mmm
total moment: 0.00 μB/f.u.
DFT total energy: -12.654 eV per cell
Fermi-level density of states: 1.70 states/eV/f.u.
energy of formation from the pure elements: -0.235 eV/atom

a b c (Å): 4.7174 4.7174 4.4929
angles (deg): 90.00 90.00 90.00
Closest atoms and distances in Å follow each position.
Fractional coordinates of all 4 atoms:
1 Ca 0.0000 0.0000 0.0000  8 Pb 3.26, 4 Zn 3.34
2 Zn 0.5000 0.5000 0.0000  8 Pb 3.26, 4 Ca 3.34
3 Pb 0.0000 0.5000 0.5000  4 Ca 3.26, 4 Zn 3.26, 4 Pb 3.34
4 Pb 0.5000 0.0000 0.5000  4 Ca 3.26, 4 Zn 3.26, 4 Pb 3.34

No. 7
CaZnPb2: relaxed, PBEsol.

space group: P2/m
total moment: 0.00 μB/f.u.
DFT total energy: -12.270 eV per cell
Fermi-level density of states: 1.99 states/eV/f.u.
energy of formation from the pure elements: -0.139 eV/atom

a b c (Å): 3.4396 4.6309 6.6482
angles (deg): 90.00 90.61 90.00
Closest atoms and distances in Å follow each position.
Fractional coordinates of all 4 atoms:
1 Ca 0.0000 0.0000 0.0000  8 Pb 3.33-3.35, 2 Ca 3.44, 2 Zn 3.73
2 Zn 0.5000 0.0000 0.5000  4 Pb 2.84
3 Pb 0.4893 0.5000 0.7463  2 Zn 2.84
4 Pb 0.5107 0.5000 0.2537  2 Zn 2.84

No. 8
CaZnPb2: relaxed, PBEsol.

space group: C2/m
total moment: 0.00 μB/f.u.
DFT total energy: -24.184 eV per cell
Fermi-level density of states: 1.83 states/eV/f.u.
energy of formation from the pure elements: -0.095 eV/atom

a b c (Å): 6.5517 10.3392 3.4419
angles (deg): 90.00 114.80 90.00
Closest atoms and distances in Å follow each position.
Fractional coordinates of all 8 atoms:
1 Ca 0.0000 0.0000 0.0000  4 Pb 3.16, 2 Zn 3.28, 2 Ca 3.44
2 Ca 0.5000 0.5000 0.0000  4 Pb 3.16, 2 Zn 3.28, 2 Ca 3.44
3 Zn 0.0000 0.5000 0.0000  4 Pb 3.16, 2 Ca 3.28, 2 Zn 3.44
4 Zn 0.5000 0.0000 0.0000  4 Pb 3.16, 2 Ca 3.28, 2 Zn 3.44
5 Pb 0.2500 0.2500 0.5000  2 Ca 3.16, 2 Zn 3.16, 4 Pb 3.28-3.44
6 Pb 0.2500 0.7500 0.5000  2 Ca 3.16, 2 Zn 3.16, 4 Pb 3.28-3.44
7 Pb 0.7500 0.2500 0.5000  2 Ca 3.16, 2 Zn 3.16, 4 Pb 3.28-3.44
8 Pb 0.7500 0.7500 0.5000  2 Ca 3.16, 2 Zn 3.16, 4 Pb 3.28-3.44

No. 9
CaZn2Pb: relaxed, PBEsol.

space group: P4/mmm
total moment: 0.00 μB/f.u.
DFT total energy: -9.663 eV per cell
Fermi-level density of states: 1.57 states/eV/f.u.
energy of formation from the pure elements: -0.092 eV/atom

a b c (Å): 3.7239 3.7239 6.5360
angles (deg): 90.00 90.00 90.00
Closest atoms and distances in Å follow each position.
Fractional coordinates of all 4 atoms:
1 Ca 0.0000 0.0000 0.0000  8 Zn 3.16, 2 Pb 3.27
2 Zn 0.5000 0.5000 0.2668  4 Pb 3.04, 1 Zn 3.05, 4 Ca 3.16
3 Zn 0.5000 0.5000 0.7332  4 Pb 3.04, 1 Zn 3.05, 4 Ca 3.16
4 Pb 0.0000 0.0000 0.5000  8 Zn 3.04, 2 Ca 3.27

No. 10
CaZn2Pb: relaxed, PBEsol.

space group: I4/mmm
total moment: 0.00 μB/f.u.
DFT total energy: -19.713 eV per cell
Fermi-level density of states: 1.74 states/eV/f.u.
energy of formation from the pure elements: -0.140 eV/atom

a b c (Å): 4.6825 4.6825 7.9704
angles (deg): 90.00 90.00 90.00
Closest atoms and distances in Å follow each position.
Fractional coordinates of all 8 atoms:
1 Ca 0.0000 0.0000 0.0000  8 Zn 3.07, 4 Pb 3.31
2 Ca 0.5000 0.5000 0.5000  8 Zn 3.07, 4 Pb 3.31
3 Zn 0.0000 0.5000 0.2500  4 Pb 3.07, 4 Ca 3.07, 4 Zn 3.31
4 Zn 0.0000 0.5000 0.7500  4 Pb 3.07, 4 Ca 3.07, 4 Zn 3.31
5 Zn 0.5000 0.0000 0.2500  4 Pb 3.07, 4 Ca 3.07, 4 Zn 3.31
6 Zn 0.5000 0.0000 0.7500  4 Pb 3.07, 4 Ca 3.07, 4 Zn 3.31
7 Pb 0.0000 0.0000 0.5000  8 Zn 3.07, 4 Ca 3.31
8 Pb 0.5000 0.5000 0.0000  8 Zn 3.07, 4 Ca 3.31

No. 11
CaZrPb2: relaxed, PBEsol.

space group: P4/mmm
total moment: 0.00 μB/f.u.
DFT total energy: -20.624 eV per cell
Fermi-level density of states: 1.73 states/eV/f.u.
energy of formation from the pure elements: -0.351 eV/atom

a b c (Å): 3.3771 3.3771 8.7875
angles (deg): 90.00 90.00 90.00
Closest atoms and distances in Å follow each position.
Fractional coordinates of all 4 atoms:
1 Ca 0.0000 0.0000 0.0000  8 Pb 3.32, 4 Ca 3.38
2 Zr 0.0000 0.0000 0.5000  8 Pb 3.17, 4 Zr 3.38
3 Pb 0.5000 0.5000 0.2630  4 Zr 3.17, 4 Ca 3.32, 4 Pb 3.38
4 Pb 0.5000 0.5000 0.7370  4 Zr 3.17, 4 Ca 3.32, 4 Pb 3.38

No. 12
CaZr3Pb: relaxed, PBEsol.

space group: Pm-3m
total moment: 0.05 μB/f.u.
DFT total energy: -26.389 eV per cell
Fermi-level density of states: 9.02 states/eV/f.u.
energy of formation from the pure elements: 1.402 eV/atom

a b c (Å): 4.9808 4.9808 4.9808
angles (deg): 90.00 90.00 90.00
Closest atoms and distances in Å follow each position.
Fractional coordinates of all 5 atoms:
1 Ca 0.0000 0.0000 0.0000  6 Zr 2.49
2 Zr 0.0000 0.0000 0.5000  2 Ca 2.49
3 Zr 0.0000 0.5000 0.0000  2 Ca 2.49
4 Zr 0.5000 0.0000 0.0000  2 Ca 2.49
5 Pb 0.5000 0.5000 0.5000  12 Zr 3.52